Computed, not measured: CrSn2F11 after structural relaxation at the PBE with a Hubbard U level of DFT.

Structure (POSCAR):
```
CrSn2F11
1.0
-3.897 4.865 5.070
3.897 -4.865 5.070
3.897 4.865 -5.070
Cr Sn F
2 4 22
direct
0.250 0.250 0.000
0.750 0.750 0.000
0.190 0.622 0.811
0.310 0.122 0.432
0.690 0.878 0.568
0.810 0.378 0.189
0.000 0.500 0.500
0.009 0.947 0.216
0.052 0.434 0.170
0.213 0.360 0.573
0.231 0.447 0.938
0.237 0.066 0.618
0.263 0.882 0.830
0.269 0.207 0.216
0.287 0.860 0.147
0.448 0.618 0.382
0.491 0.707 0.938
0.500 0.000 0.500
0.509 0.293 0.062
0.552 0.382 0.618
0.713 0.140 0.853
0.731 0.793 0.784
0.737 0.118 0.170
0.763 0.934 0.382
0.769 0.553 0.062
0.787 0.640 0.427
0.948 0.566 0.830
0.991 0.053 0.784
```

Properties
DFT total energy = -4.884 eV per atom